VASP calculation (GGA-PBE) on a geometry-optimized LiErSb structure.

SG	P3m1
relative energy among the computed polymorphs	77	meV/atom

Cell and atoms, written as POSCAR:
```
LiErSb
1.0
4.4793 0.0000 0.0000
-2.2396 3.8792 0.0000
0.0000 0.0000 8.3655
Li Er Sb
2 2 2
Cartesian
0.0000 0.0000 0.0000
0.0000 2.5861 7.7116
0.0000 0.0000 5.1962
2.2396 1.2931 1.9911
0.0000 2.5861 3.5493
2.2396 1.2931 7.1373
```

=====

VASP calculation (GGA-PBE) on a geometry-optimized LiEr8Sb6 structure.

SG	R-3
electronic total energy	-74.4	eV/cell

Cell and atoms, written as POSCAR:
```
LiEr8Sb6
1.0
4.4854 2.5896 6.1963
-4.4854 2.5896 6.1963
0.0000 -5.1793 6.1963
Li Er Sb
1 8 6
Cartesian
0.0000 0.0000 0.0000
-3.2053 0.4192 7.9072
-1.9657 -2.5663 10.6817
0.0000 0.0000 6.1697
1.2396 -2.9855 7.9072
-1.2396 2.9855 10.6817
0.0000 0.0000 12.4193
1.9657 2.5663 7.9072
3.2053 -0.4192 10.6817
-1.6894 -2.2877 7.6281
-2.8259 0.3193 10.9608
-1.1365 2.6069 7.6281
1.1364 -2.6069 10.9608
2.8259 -0.3193 7.6281
1.6894 2.2877 10.9608
```

=====

VASP calculation (GGA-PBE) on a geometry-optimized Li4Er3SbSe8 structure.

SG	R-3m
electronic total energy	-76.2	eV/cell

Cell and atoms, written as POSCAR:
```
Li4Er3SbSe8
1.0
4.0526 2.3398 6.4926
-4.0526 2.3398 6.4926
0.0000 -4.6795 6.4926
Li Er Sb Se
4 3 1 8
Cartesian
0.0000 0.0000 0.0000
-2.0263 -1.1699 6.4926
-2.0263 1.1699 12.9852
0.0000 2.3398 6.4926
-4.0526 0.0000 9.7389
-2.0263 1.1699 3.2463
2.0263 1.1699 3.2463
0.0000 0.0000 9.7389
0.0000 -2.3537 8.0963
-2.0384 1.1769 8.0963
-2.0384 -1.1769 11.3815
0.0000 0.0000 4.8722
0.0000 0.0000 14.6057
2.0384 1.1769 8.0963
2.0384 -1.1769 11.3815
0.0000 2.3537 11.3815
```

=====

Number 1: V 24.226 A^3/atom. Number 2: V 28.789 A^3/atom. Number 3: V 23.085 A^3/atom.